No. 1
La2Dy6Ho: relaxed, PBE.

V ... 305 Å³ per cell
VASP energy ... -4.43 eV/atom
Polymorph energy (0 for the lowest one) ... 0.123 eV per atom
Fermi-level density of states ... 10.65 states/eV per cell
ΔE_f ... 239 meV/atom

Cell: 7.678 7.678 5.981 Å, 90.07 90.07 59.92°
Fractional coordinates of all 9 atoms:
La1 0.166 0.166 0.214
La2 0.834 0.834 0.786
Dy1 0.124 0.688 0.293
Dy2 0.312 0.312 0.708
Dy3 0.312 0.876 0.707
Dy4 0.688 0.124 0.293
Dy5 0.688 0.688 0.292
Dy6 0.876 0.312 0.707
Ho1 0.500 0.500 0.000

---

No. 2
TaAlRh5: relaxed, PBE.

V ... 107 Å³ per cell
VASP energy ... -7.94 eV/atom
Fermi-level density of states ... 6.17 states/eV per cell
ΔE_f ... -462 meV/atom

Cell: 4.028 4.028 6.575 Å, 90.00 90.00 90.00°
Fractional coordinates of all 7 atoms:
Ta1 0.000 0.000 0.000
Al1 0.500 0.500 0.500
Rh1 0.000 0.500 0.279
Rh2 0.000 0.500 0.721
Rh3 0.500 0.000 0.279
Rh4 0.500 0.000 0.721
Rh5 0.500 0.500 0.000

---

No. 3
AlFe6Re: relaxed, PBE.

V ... 379 Å³ per cell
VASP energy ... -8.41 eV/atom
Fermi-level density of states ... 29.73 states/eV per cell
ΔE_f ... -35 meV/atom

Cell: 6.259 6.259 10.236 Å, 90.00 90.00 109.24°
Fractional coordinates of all 32 atoms:
Al1 0.000 0.000 0.246
Al2 0.000 0.000 0.754
Al3 0.252 0.748 0.500
Al4 0.748 0.252 0.500
Fe1 0.000 0.000 0.000
Fe2 0.000 0.000 0.500
Fe3 0.123 0.373 0.375
Fe4 0.123 0.373 0.625
Fe5 0.129 0.379 0.123
Fe6 0.129 0.379 0.877
Fe7 0.250 0.750 0.249
Fe8 0.250 0.750 0.751
Fe9 0.373 0.123 0.375
Fe10 0.373 0.123 0.625
Fe11 0.379 0.129 0.123
Fe12 0.379 0.129 0.877
Fe13 0.500 0.500 0.000
Fe14 0.500 0.500 0.500
Fe15 0.621 0.871 0.123
Fe16 0.621 0.871 0.877
Fe17 0.627 0.877 0.375
Fe18 0.627 0.877 0.625
Fe19 0.750 0.250 0.249
Fe20 0.750 0.250 0.751
Fe21 0.871 0.621 0.123
Fe22 0.871 0.621 0.877
Fe23 0.877 0.627 0.375
Fe24 0.877 0.627 0.625
Re1 0.252 0.748 0.000
Re2 0.500 0.500 0.247
Re3 0.500 0.500 0.753
Re4 0.748 0.252 0.000

---

No. 4
Li8ZnAu2: relaxed, PBE.

V ... 179 Å³ per cell
VASP energy ... -2.40 eV/atom
Polymorph energy (0 for the lowest one) ... 0.000 eV per atom
Fermi-level density of states ... 3.31 states/eV per cell
ΔE_f ... -297 meV/atom

Cell: 7.412 7.412 6.327 Å, 105.21 105.21 32.34°
Fractional coordinates of all 11 atoms:
Li1 0.045 0.045 0.241
Li2 0.147 0.147 0.704
Li3 0.319 0.319 0.588
Li4 0.395 0.395 0.041
Li5 0.605 0.605 0.959
Li6 0.681 0.681 0.412
Li7 0.853 0.853 0.296
Li8 0.955 0.955 0.759
Zn1 0.500 0.500 0.500
Au1 0.220 0.220 0.155
Au2 0.780 0.780 0.845

---

No. 5
Ce2TcC2: relaxed, PBE.

V ... 169 Å³ per cell
VASP energy ... -8.37 eV/atom
Polymorph energy (0 for the lowest one) ... 0.038 eV per atom
Fermi-level density of states ... 12.41 states/eV per cell
ΔE_f ... -235 meV/atom

Cell: 6.117 6.117 6.646 Å, 115.44 115.44 50.73°
Fractional coordinates of all 10 atoms:
Ce1 0.028 0.028 0.287
Ce2 0.316 0.316 0.871
Ce3 0.684 0.684 0.129
Ce4 0.972 0.972 0.713
Tc1 0.362 0.362 0.379
Tc2 0.638 0.638 0.621
C1 0.173 0.173 0.099
C2 0.497 0.497 0.729
C3 0.503 0.503 0.271
C4 0.827 0.827 0.901

---

No. 6
Sm2DyTaN4: relaxed, PBE.

V ... 112 Å³ per cell
VASP energy ... -8.83 eV/atom
Fermi-level density of states ... 1.80 states/eV per cell

Cell: 5.887 3.385 5.952 Å, 90.00 108.87 90.00°
Fractional coordinates of all 8 atoms:
Sm1 0.000 0.000 0.000
Sm2 0.500 0.500 0.000
Dy1 0.000 0.500 0.500
Ta1 0.500 0.000 0.500
N1 0.266 0.000 0.722
N2 0.278 0.500 0.284
N3 0.722 0.500 0.716
N4 0.734 0.000 0.278

---

What is the V in the second record? 107 Å³ per cell

---

Which value of VASP energy does entry 2 give? -7.94 eV/atom

---

Which of these has the highest VASP energy? Li8ZnAu2

---

Look up the V of the fifth one. 169 Å³ per cell